The following is a PBE calculation of a relaxed structure of Ni3GeH, from OQMD.

Cell and atoms, written as CIF:
```
data_Ni3GeH
_chemical_formula_sum 'Ni3 Ge1 H1'
_cell_length_a 3.6355
_cell_length_b 3.6355
_cell_length_c 3.6355
_cell_angle_alpha 90.00
_cell_angle_beta 90.00
_cell_angle_gamma 90.00
_symmetry_space_group_name_H-M 'P m -3 m'
_symmetry_Int_Tables_number 221
_symmetry_space_group_name_Hall '-P 4 2 3'
loop_
_atom_site_label
_atom_site_type_symbol
_atom_site_fract_x
_atom_site_fract_y
_atom_site_fract_z
_atom_site_occupancy
Ni1 Ni 0.0000 0.0000 0.5000 1
Ge1 Ge 0.5000 0.5000 0.5000 1
H1 H 0.0000 0.0000 0.0000 1
```

Summary:
M_tot, μB per formula unit: 0.04
VASP energy, eV per cell: -25.9